Record 1
## Te2AuS (GGA-PBE)

Data for Te2AuS after structural relaxation.

Output
Energy relative to the elements, uncorrected = 401 meV per atom
Fermi-level density of states = 2.06 states/eV/f.u.

Unit cell a=9.7311 b=9.7311 c=9.7311 alpha=20.56 beta=20.56 gamma=20.56
Closest atoms and distances in Å follow each position.
Sites, in units of the cell vectors:
1 S 0.5000 0.5000 0.5000  6 Te 2.88
2 Te 0.9057 0.9057 0.9057  1 Au 2.69, 3 S 2.88
3 Te 0.0943 0.0943 0.0943  1 Au 2.69, 3 S 2.88
4 Au 0.0000 0.0000 0.0000  2 Te 2.69


Record 2
## TeAuS4 (GGA-PBE)

Data for TeAuS4 after structural relaxation.

Output
Energy relative to the elements, uncorrected = 130 meV per atom
Fermi-level density of states = 2.69 states/eV/f.u.

Unit cell a=6.1703 b=6.6170 c=5.9900 alpha=85.08 beta=131.70 gamma=107.86
Closest atoms and distances in Å follow each position.
Sites, in units of the cell vectors:
1 Te 0.5000 0.5000 0.0000  4 S 2.69-2.73
2 Au 0.0000 0.0000 0.0000  2 S 2.39
3 S 0.9020 0.2989 0.7364  1 S 2.05
4 S 0.0980 0.7011 0.2636  1 S 2.05
5 S 0.3838 0.8376 0.7077  1 S 2.05
6 S 0.6162 0.1624 0.2923  1 S 2.05


Record 3
## TeAuS (GGA-PBE)

Data for TeAuS after structural relaxation.

Output
Energy relative to the elements, uncorrected = 116 meV per atom
Fermi-level density of states = 0.75 states/eV/f.u.

Unit cell a=5.3555 b=4.9831 c=8.3302 alpha=82.80 beta=94.48 gamma=49.03
Closest atoms and distances in Å follow each position.
Sites, in units of the cell vectors:
1 Te 0.8367 0.2748 0.6074  1 Au 2.67, 1 Te 2.94
2 Te 0.1580 0.7228 0.3969  1 Au 2.68, 1 Te 2.94
3 Au 0.6505 0.1814 0.8824  3 S 2.43-2.55, 1 Te 2.67
4 Au 0.3453 0.8149 0.1221  3 S 2.43-2.55, 1 Te 2.68
5 S 0.5466 0.7637 0.8659  3 Au 2.43-2.55
6 S 0.4495 0.2326 0.1387  3 Au 2.43-2.55


Record 4
## Te6Au2S (GGA-PBE)

Data for Te6Au2S after structural relaxation.

Output
Energy relative to the elements, uncorrected = 105 meV per atom
Fermi-level density of states = 3.89 states/eV/f.u.

Unit cell a=8.2524 b=8.0792 c=8.0792 alpha=80.63 beta=83.48 gamma=83.48
Closest atoms and distances in Å follow each position.
Sites, in units of the cell vectors:
1 Te 0.4213 0.6657 0.5307  2 Au 2.84, 1 Te 2.93
2 Te 0.0787 0.4693 0.3343  2 Au 2.84, 1 Te 2.93
3 Te 0.5787 0.3343 0.4693  2 Au 2.84, 1 Te 2.93
4 Te 0.9213 0.5307 0.6657  2 Au 2.84, 1 Te 2.93
5 Te 0.8487 0.9853 0.4196  1 S 2.75, 2 Au 2.87-2.89, 1 Te 2.99
6 Te 0.6513 0.5804 0.0147  1 S 2.75, 2 Au 2.87-2.89, 1 Te 2.99
7 Te 0.1513 0.0147 0.5804  1 S 2.75, 2 Au 2.87-2.89, 1 Te 2.99
8 Te 0.3487 0.4196 0.9853  1 S 2.75, 2 Au 2.87-2.89, 1 Te 2.99
9 Te 0.0701 0.8312 0.0776  1 S 2.71, 1 Au 2.75, 1 Te 2.97
10 Te 0.4299 0.9224 0.1688  1 S 2.71, 1 Au 2.75, 1 Te 2.97
11 Te 0.9299 0.1688 0.9224  1 S 2.71, 1 Au 2.75, 1 Te 2.97
12 Te 0.5701 0.0776 0.8312  1 S 2.71, 1 Au 2.75, 1 Te 2.97
13 Au 0.1621 0.6884 0.7911  5 Te 2.75-2.89
14 Au 0.3379 0.2089 0.3116  5 Te 2.75-2.89
15 Au 0.8379 0.3116 0.2089  5 Te 2.75-2.89
16 Au 0.6621 0.7911 0.6884  5 Te 2.75-2.89
17 S 0.2500 0.1905 0.8095  4 Te 2.71-2.75
18 S 0.7500 0.8095 0.1905  4 Te 2.71-2.75


Record 5
## Tl2TeAuS4 (GGA-PBE)

Data for Tl2TeAuS4 after structural relaxation.

Output
Energy relative to the elements, uncorrected = -35 meV per atom
Fermi-level density of states = 3.00 states/eV/f.u.

Unit cell a=7.8733 b=7.8733 c=8.5251 alpha=116.77 beta=116.77 gamma=89.73
Closest atoms and distances in Å follow each position.
Sites, in units of the cell vectors:
1 Tl 0.5000 0.0000 0.0000  6 S 3.10-3.11
2 Tl 0.5000 0.0000 0.5000  6 S 3.10-3.11
3 Tl 0.0000 0.0000 0.5000  4 S 2.92-2.97
4 Tl 0.5000 0.5000 0.0000  4 S 2.92-2.97
5 Te 0.5000 0.5000 0.5000  4 S 2.64-2.68
6 Te 0.0000 0.0000 0.0000  4 S 2.64-2.68
7 Au 0.0000 0.5000 0.0000  4 S 2.47-2.49
8 Au 0.0000 0.5000 0.5000  4 S 2.47-2.49
9 S 0.2268 0.7487 0.0320  1 Au 2.49, 1 Te 2.68
10 S 0.7513 0.2732 0.4680  1 Au 2.49, 1 Te 2.68
11 S 0.2487 0.7268 0.5320  1 Au 2.49, 1 Te 2.68
12 S 0.7732 0.2513 0.9680  1 Au 2.49, 1 Te 2.68
13 S 0.7876 0.7309 0.9884  1 Au 2.47, 1 Te 2.64
14 S 0.7691 0.7124 0.5116  1 Au 2.47, 1 Te 2.64
15 S 0.2309 0.2876 0.4884  1 Au 2.47, 1 Te 2.64
16 S 0.2124 0.2691 0.0116  1 Au 2.47, 1 Te 2.64


Record 6
## TlTe2AuS4 (GGA-PBE)

Data for TlTe2AuS4 after structural relaxation.

Output
Energy relative to the elements, uncorrected = 84 meV per atom
Fermi-level density of states = 4.42 states/eV/f.u.

Unit cell a=7.0694 b=6.5555 c=6.5555 alpha=64.63 beta=57.37 gamma=57.37
Closest atoms and distances in Å follow each position.
Sites, in units of the cell vectors:
1 Tl 0.0000 0.0000 0.0000  4 S 3.18
2 Te 0.2369 0.2631 0.2631  4 S 2.61-2.67
3 Te 0.7631 0.7369 0.7369  4 S 2.61-2.67
4 Au 0.5000 0.5000 0.5000  4 S 2.51
5 S 0.4547 0.1229 0.5578  1 Au 2.51, 2 Te 2.61-2.67
6 S 0.1354 0.8771 0.4422  1 Au 2.51, 2 Te 2.61-2.67
7 S 0.8646 0.5578 0.1229  1 Au 2.51, 2 Te 2.61-2.67
8 S 0.5453 0.4422 0.8771  1 Au 2.51, 2 Te 2.61-2.67


Record 7
## TlTeAu2S4 (GGA-PBE)

Data for TlTeAu2S4 after structural relaxation.

Output
Energy relative to the elements, uncorrected = 48 meV per atom
Fermi-level density of states = 5.30 states/eV/f.u.

Unit cell a=6.4241 b=6.7856 c=6.7856 alpha=80.93 beta=61.75 gamma=61.75
Closest atoms and distances in Å follow each position.
Sites, in units of the cell vectors:
1 Tl 0.0000 0.0000 0.0000  8 S 3.51-3.52
2 Te 0.0000 0.5000 0.5000  4 S 2.51
3 Au 0.5000 0.6777 0.3223  2 S 2.33
4 Au 0.5000 0.3223 0.6777  2 S 2.33
5 S 0.6042 0.5076 0.8505  1 Au 2.33, 1 Te 2.51
6 S 0.3958 0.1495 0.4924  1 Au 2.33, 1 Te 2.51
7 S 0.9623 0.4924 0.1495  1 Au 2.33, 1 Te 2.51
8 S 0.0377 0.8505 0.5076  1 Au 2.33, 1 Te 2.51


Record 8
## Tm4TeAuS2 (GGA-PBE)

Data for Tm4TeAuS2 after structural relaxation.

Output
Energy relative to the elements, uncorrected = -1433 meV per atom
Fermi-level density of states = 3.67 states/eV/f.u.

Unit cell a=3.8869 b=7.3064 c=6.8621 alpha=72.66 beta=90.00 gamma=90.00
Closest atoms and distances in Å follow each position.
Sites, in units of the cell vectors:
1 Tm 0.0000 0.7839 0.7266  3 S 2.69-2.79, 1 Au 2.94
2 Tm 0.0000 0.2161 0.2734  3 S 2.69-2.79, 1 Au 2.94
3 Tm 0.5000 0.7722 0.2535  3 S 2.70-2.80, 2 Au 2.93, 1 Te 3.01
4 Tm 0.5000 0.2278 0.7465  3 S 2.70-2.80, 2 Au 2.93, 1 Te 3.01
5 Te 0.5000 0.5000 0.0000  6 Tm 3.01-3.05
6 Au 0.0000 0.5000 0.5000  6 Tm 2.93-2.94
7 S 0.0000 0.0000 0.0000  6 Tm 2.79-2.80
8 S 0.5000 0.0000 0.5000  6 Tm 2.69-2.70


Record 9
## U2Te2AuS2 (GGA-PBE)

Data for U2Te2AuS2 after structural relaxation.

Output
Energy relative to the elements, uncorrected = -810 meV per atom
Fermi-level density of states = 16.05 states/eV/f.u.

Unit cell a=4.4859 b=4.4859 c=12.4407 alpha=90.00 beta=90.00 gamma=120.00
Closest atoms and distances in Å follow each position.
Sites, in units of the cell vectors:
1 U 0.6667 0.3333 0.3575  4 S 2.70-2.77
2 U 0.3333 0.6667 0.6425  4 S 2.70-2.77
3 Te 0.0000 0.0000 0.2086  1 Au 2.60
4 Te 0.0000 0.0000 0.7914  1 Au 2.60
5 Au 0.0000 0.0000 0.0000  2 Te 2.60
6 S 0.6667 0.3333 0.5801  4 U 2.70-2.77
7 S 0.3333 0.6667 0.4199  4 U 2.70-2.77


Record 10
## Y6Te3AuS2 (GGA-PBE)

Data for Y6Te3AuS2 after structural relaxation.

Output
Energy relative to the elements, uncorrected = -1475 meV per atom
Fermi-level density of states = 5.73 states/eV/f.u.

Unit cell a=7.2091 b=7.2091 c=7.3901 alpha=99.36 beta=99.36 gamma=119.90
Closest atoms and distances in Å follow each position.
Sites, in units of the cell vectors:
1 Y 0.9279 0.5878 0.7816  2 S 2.83, 1 Au 2.89, 3 Te 3.08-3.13
2 Y 0.7316 0.7316 0.2164  2 S 2.81, 1 Au 2.89, 3 Te 3.08-3.13
3 Y 0.0721 0.4122 0.2184  2 S 2.83, 1 Au 2.89, 3 Te 3.08-3.13
4 Y 0.5878 0.9279 0.7816  2 S 2.83, 1 Au 2.89, 3 Te 3.08-3.13
5 Y 0.2684 0.2684 0.7836  2 S 2.81, 1 Au 2.89, 3 Te 3.08-3.13
6 Y 0.4122 0.0721 0.2184  2 S 2.83, 1 Au 2.89, 3 Te 3.08-3.13
7 Te 0.1655 0.8345 0.5000  6 Y 3.08-3.13
8 Te 0.8345 0.1655 0.5000  6 Y 3.08-3.13
9 Te 0.5000 0.5000 0.5000  6 Y 3.08-3.13
10 Au 0.0000 0.0000 0.0000  6 Y 2.89
11 S 0.3337 0.6663 0.0000  6 Y 2.81-2.83
12 S 0.6663 0.3337 0.0000  6 Y 2.81-2.83


Record 11
## Th3AuS (GGA-PBE)

Data for Th3AuS after structural relaxation.

Output
Energy relative to the elements, uncorrected = -880 meV per atom
Fermi-level density of states = 3.98 states/eV/f.u.

Unit cell a=3.9059 b=9.1146 c=15.4337 alpha=90.00 beta=90.00 gamma=90.00
Closest atoms and distances in Å follow each position.
Sites, in units of the cell vectors:
1 Th 0.2500 0.3471 0.5372  2 S 2.83, 2 Au 3.13
2 Th 0.7500 0.8171 0.2104  1 S 2.77
3 Th 0.7500 0.5234 0.8928  3 S 2.82
4 Th 0.7500 0.0234 0.6072  3 S 2.82
5 Th 0.7500 0.6529 0.4628  2 S 2.83, 2 Au 3.13
6 Th 0.2500 0.9766 0.3928  3 S 2.82
7 Th 0.2500 0.8471 0.9628  2 S 2.83, 2 Au 3.13
8 Th 0.7500 0.3171 0.2896  1 S 2.77
9 Th 0.2500 0.6829 0.7104  1 S 2.77
10 Th 0.2500 0.1829 0.7896  1 S 2.77
11 Th 0.7500 0.1529 0.0372  2 S 2.83, 2 Au 3.13
12 Th 0.2500 0.4766 0.1072  3 S 2.82
13 Au 0.7500 0.9083 0.8088  7 Th 3.13-3.28
14 Au 0.2500 0.0917 0.1912  7 Th 3.13-3.28
15 Au 0.7500 0.4083 0.6912  7 Th 3.13-3.28
16 Au 0.2500 0.5917 0.3088  7 Th 3.13-3.28
17 S 0.2500 0.3217 0.9489  6 Th 2.77-2.83
18 S 0.2500 0.8217 0.5511  6 Th 2.77-2.83
19 S 0.7500 0.1783 0.4489  6 Th 2.77-2.83
20 S 0.7500 0.6783 0.0511  6 Th 2.77-2.83


Record 12
## Th2AuS (GGA-PBE)

Data for Th2AuS after structural relaxation.

Output
Energy relative to the elements, uncorrected = -1124 meV per atom
Fermi-level density of states = 4.52 states/eV/f.u.

Unit cell a=4.1453 b=4.1453 c=7.4606 alpha=73.87 beta=73.87 gamma=60.00
Closest atoms and distances in Å follow each position.
Sites, in units of the cell vectors:
1 S 0.0000 0.0000 0.0000  6 Th 2.89
2 Au 0.5000 0.5000 0.5000  6 Th 3.06
3 Th 0.7432 0.7432 0.7703  3 S 2.89, 3 Au 3.06
4 Th 0.2568 0.2568 0.2297  3 S 2.89, 3 Au 3.06